Material: YHgRu2
Method: DFT, PBE-GGA
State: optimized geometry

Geometry as extended XYZ:
```
4
Lattice="5.2967 -1.5928 0.0000 5.2967 1.5928 0.0000 -1.8470 0.0000 4.4098" Properties=species:S:1:pos:R:3 pbc="T T T"
Y 0.0000 0.0000 0.0000
Hg 1.1489 0.0000 2.8780
Ru 4.0806 0.0000 2.1609
Ru 7.7480 0.0000 0.8083
```

Calculated values
ρ in g cm⁻³: 11.0
DFT total energy in eV for the cell shown: -24.92
Formation energy from the elements in meV/atom: 100
Space-group type: Cm